Tb5Pr8Cd (PBE, relaxed); DOS at the Fermi energy = 18.4 states/eV/f.u.; space-group type = P1; ΔE_f = 8.1 kJ per mole of atoms; crystal system = triclinic
1.0
-3.851 -3.064 7.360
3.421 -7.721 -2.461
5.660 6.595 0.493
Tb Cd Pr
5 1 8
Cartesian
3.931 -3.822 3.831
-2.309 -4.349 6.065
0.900 1.084 4.180
7.528 -0.797 -0.143
1.626 1.419 0.710
4.370 -0.218 1.498
1.141 -8.781 2.268
3.874 2.604 3.298
0.768 -2.778 5.479
1.470 -1.819 2.158
3.937 -0.699 4.964
1.232 -5.464 2.909
4.294 3.683 0.190
4.510 -3.121 -0.156